SiI2NCl: relaxed, PBE.

Lattice parameters (Å, degrees): 6.781 3.340 6.781 90.00 90.00 90.00
Sites, in units of the cell vectors:
1 I 0.000 0.000 0.500
2 I 0.500 0.000 0.000
3 N 0.000 0.500 0.000
4 Si 0.500 0.500 0.500
5 Cl 0.000 0.000 0.000

Properties
Offset from the most stable computed form (eV/f.u.): 5.600
Energy relative to the elements, uncorrected (kJ per mole of atoms): 134

---

AsAuBr2: relaxed, PBE.

Lattice parameters (Å, degrees): 4.665 4.665 8.278 79.99 79.99 47.00
Sites, in units of the cell vectors:
1 Br 0.730 0.730 0.680
2 Br 0.908 0.908 0.089
3 As 0.605 0.605 0.448
4 Au 0.257 0.257 0.282

Properties
Offset from the most stable computed form (eV/f.u.): 0.000
Energy relative to the elements, uncorrected (kJ per mole of atoms): -21

---

ScAl2Hg: relaxed, PBE.

Lattice parameters (Å, degrees): 5.144 5.830 3.092 75.20 88.74 115.80
Sites, in units of the cell vectors:
1 Hg 0.000 0.500 0.500
2 Sc 0.500 0.500 0.000
3 Al 0.500 0.000 0.500
4 Al 0.000 0.000 0.000

Properties
Energy of formation from the pure elements (eV/atom): -0.11

---

LaY2Re: relaxed, PBE.

Lattice parameters (Å, degrees): 10.757 10.757 10.757 18.67 18.67 18.67
Sites, in units of the cell vectors:
1 Re 0.750 0.750 0.750
2 Y 0.018 0.018 0.018
3 Y 0.482 0.482 0.482
4 La 0.250 0.250 0.250

Properties
Energy of formation from the pure elements (eV/atom): 0.34
Offset from the most stable computed form (eV/f.u.): 0.697

---

GaH2Rh2: relaxed, PBE.

Lattice parameters (Å, degrees): 5.769 5.769 3.059 90.00 90.00 90.00
Sites, in units of the cell vectors:
1 H 0.409 0.909 0.000
2 H 0.591 0.091 0.000
3 H 0.909 0.591 0.000
4 H 0.091 0.409 0.000
5 Rh 0.681 0.181 0.500
6 Rh 0.819 0.681 0.500
7 Rh 0.181 0.319 0.500
8 Rh 0.319 0.819 0.500
9 Ga 0.000 0.000 0.000
10 Ga 0.500 0.500 0.000

Properties
Offset from the most stable computed form (eV/f.u.): 0.710

---

Tb8InRu2: relaxed, PBE.

Lattice parameters (Å, degrees): 5.338 6.903 9.153 112.15 106.96 89.98
Sites, in units of the cell vectors:
1 Ru 0.464 0.279 0.564
2 Ru 0.809 0.624 0.254
3 Tb 0.348 0.858 0.333
4 Tb 0.925 0.435 0.486
5 Tb 0.306 0.352 0.248
6 Tb 0.136 0.545 0.909
7 Tb 0.530 0.706 0.695
8 Tb 0.967 0.014 0.570
9 Tb 0.636 0.284 0.909
10 Tb 0.743 0.920 0.123
11 In 0.136 0.982 0.909

Properties
Energy of formation from the pure elements (eV/atom): -0.23
Offset from the most stable computed form (eV/f.u.): 0.080

---

NaCuO2: relaxed, PBE.

Lattice parameters (Å, degrees): 3.747 3.747 3.362 90.00 90.00 90.00
Sites, in units of the cell vectors:
1 O 0.000 0.500 0.000
2 O 0.500 0.000 0.000
3 Na 0.500 0.500 0.500
4 Cu 0.000 0.000 0.000

Properties
Energy relative to the elements, uncorrected (kJ per mole of atoms): -74

---

Nd3Er3Tm4: relaxed, PBE.

Lattice parameters (Å, degrees): 3.654 9.388 9.388 90.31 90.00 90.00
Sites, in units of the cell vectors:
1 Nd 0.500 0.827 0.173
2 Nd 0.500 0.325 0.326
3 Nd 0.500 0.674 0.675
4 Tm 0.000 0.127 0.121
5 Tm 0.000 0.374 0.626
6 Tm 0.000 0.879 0.873
7 Tm 0.000 0.625 0.375
8 Er 0.000 0.002 0.507
9 Er 0.500 0.174 0.826
10 Er 0.000 0.493 0.998

Properties
Energy of formation from the pure elements (eV/atom): 0.10